[1]
# Ba2ZnCd5 PBE optimized geometry
# Magnetic moment = 0.000 Bohr magnetons per cell
# Calculated formation energy = -256 meV per atom
# ρ = 6.24 g/cm³
data_Ba2ZnCd5
_cell_length_a 5.125
_cell_length_b 18.167
_cell_length_c 10.305
_cell_angle_alpha 90.00
_cell_angle_beta 90.00
_cell_angle_gamma 90.00
_space_group_name_H-M_alt 'C m c m'
_space_group_IT_number 63
_space_group_name_Hall '-C 2c 2'
loop_
_atom_site_label
_atom_site_fract_x
_atom_site_fract_y
_atom_site_fract_z
Ba1 0.000 0.000 0.000
Ba2 0.000 0.202 0.250
Zn1 0.000 0.439 0.750
Cd1 0.000 0.186 0.608
Cd2 0.000 0.352 0.524
Cd3 0.000 0.409 0.250

[2]
# BaZrCd2 PBE optimized geometry
# Energy above the most stable polymorph in this dataset = 445 meV per atom
# Magnetic moment = 8.195 Bohr magnetons per cell
# Calculated formation energy = 381 meV per atom
# ρ = 6.68 g/cm³
data_BaZrCd2
_cell_length_a 7.666
_cell_length_b 7.666
_cell_length_c 7.666
_cell_angle_alpha 90.00
_cell_angle_beta 90.00
_cell_angle_gamma 90.00
_space_group_name_H-M_alt 'F -4 3 m'
_space_group_IT_number 216
_space_group_name_Hall 'F -4 2 3'
loop_
_atom_site_label
_atom_site_fract_x
_atom_site_fract_y
_atom_site_fract_z
Ba1 0.000 0.000 0.000
Zr1 0.250 0.250 0.750
Cd1 0.000 0.000 0.500
Cd2 0.250 0.250 0.250

[3]
# Ba2ZrCd2 PBE optimized geometry
# Magnetic moment = 0.001 Bohr magnetons per cell
# Calculated formation energy = 140 meV per atom
# ρ = 5.56 g/cm³
data_Ba2ZrCd2
_cell_length_a 7.876
_cell_length_b 7.876
_cell_length_c 5.689
_cell_angle_alpha 90.00
_cell_angle_beta 90.00
_cell_angle_gamma 90.00
_space_group_name_H-M_alt 'P 4/m b m'
_space_group_IT_number 127
_space_group_name_Hall '-P 4 2ab'
loop_
_atom_site_label
_atom_site_fract_x
_atom_site_fract_y
_atom_site_fract_z
Ba1 0.182 0.318 0.000
Zr1 0.000 0.000 0.500
Cd1 0.133 0.633 0.500

[4]
# BaZrCd2 PBE optimized geometry
# Energy above the most stable polymorph in this dataset = 234 meV per atom
# Magnetic moment = 4.902 Bohr magnetons per cell
# Calculated formation energy = 170 meV per atom
# ρ = 6.45 g/cm³
data_BaZrCd2
_cell_length_a 7.757
_cell_length_b 7.757
_cell_length_c 7.757
_cell_angle_alpha 90.00
_cell_angle_beta 90.00
_cell_angle_gamma 90.00
_space_group_name_H-M_alt 'F m -3 m'
_space_group_IT_number 225
_space_group_name_Hall '-F 4 2 3'
loop_
_atom_site_label
_atom_site_fract_x
_atom_site_fract_y
_atom_site_fract_z
Ba1 0.000 0.000 0.000
Zr1 0.000 0.000 0.500
Cd1 0.250 0.250 0.250

[5]
# BaZrCd2 PBE optimized geometry
# Energy above the most stable polymorph in this dataset = 232 meV per atom
# Magnetic moment = 0.011 Bohr magnetons per cell
# Calculated formation energy = 168 meV per atom
# ρ = 6.48 g/cm³
data_BaZrCd2
_cell_length_a 3.6034
_cell_length_b 3.6034
_cell_length_c 31.0188
_cell_angle_alpha 90.00
_cell_angle_beta 90.00
_cell_angle_gamma 120.00
_space_group_name_H-M_alt 'R -3 m'
_space_group_IT_number 166
_space_group_name_Hall '-R 3 2"'
loop_
_atom_site_label
_atom_site_fract_x
_atom_site_fract_y
_atom_site_fract_z
Ba1 0.0000 0.0000 0.0000
Zr1 0.0000 0.0000 0.5000
Cd1 0.0000 0.0000 0.2390

[6]
# BaZrCd4 PBE optimized geometry
# Magnetic moment = 1.093 Bohr magnetons per cell
# Calculated formation energy = 18 meV per atom
# ρ = 7.31 g/cm³
data_BaZrCd4
_cell_length_a 8.510
_cell_length_b 8.510
_cell_length_c 8.510
_cell_angle_alpha 90.00
_cell_angle_beta 90.00
_cell_angle_gamma 90.00
_space_group_name_H-M_alt 'F -4 3 m'
_space_group_IT_number 216
_space_group_name_Hall 'F -4 2 3'
loop_
_atom_site_label
_atom_site_fract_x
_atom_site_fract_y
_atom_site_fract_z
Ba1 0.000 0.000 0.000
Zr1 0.250 0.250 0.250
Cd1 0.123 0.123 0.623

[7]
# BaZrCd2 PBE optimized geometry
# Energy above the most stable polymorph in this dataset = 0 meV per atom
# Magnetic moment = 0.000 Bohr magnetons per cell
# Calculated formation energy = -64 meV per atom
# ρ = 6.67 g/cm³
data_BaZrCd2
_cell_length_a 3.645
_cell_length_b 3.681
_cell_length_c 8.413
_cell_angle_alpha 90.00
_cell_angle_beta 90.00
_cell_angle_gamma 90.00
_space_group_name_H-M_alt 'P m m m'
_space_group_IT_number 47
loop_
_space_group_symop_operation_xyz
'x,y,z'
'-x,-y,-z'
'-x,-y,z'
'x,y,-z'
'x,-y,-z'
'-x,y,z'
'-x,y,-z'
'x,-y,z'
loop_
_atom_site_label
_atom_site_fract_x
_atom_site_fract_y
_atom_site_fract_z
Ba1 0.000 0.000 0.000
Zr1 0.000 0.000 0.500
Cd1 0.500 0.500 0.304

[8]
# BaZrCd2 PBE optimized geometry
# Energy above the most stable polymorph in this dataset = 236 meV per atom
# Magnetic moment = 1.285 Bohr magnetons per cell
# Calculated formation energy = 171 meV per atom
# ρ = 6.71 g/cm³
data_BaZrCd2
_cell_length_a 12.743
_cell_length_b 3.436
_cell_length_c 5.733
_cell_angle_alpha 90.00
_cell_angle_beta 116.59
_cell_angle_gamma 90.00
_space_group_name_H-M_alt 'C 1 m 1'
_space_group_IT_number 8
loop_
_space_group_symop_operation_xyz
'x,y,z'
'x,-y,z'
'x+1/2,y+1/2,z'
'x+1/2,-y+1/2,z'
loop_
_atom_site_label
_atom_site_fract_x
_atom_site_fract_y
_atom_site_fract_z
Ba1 0.000 0.000 0.000
Zr1 0.285 0.500 0.284
Cd1 0.013 0.500 0.513
Cd2 0.230 0.000 0.729

We obtain DFT total energy values of -47.0, -43.1, -27.1, -46.5, -34.9, -56.1, -12.6, -23.2 eV for the cell shown for the records listed above, in that order.